DFT (PBE) results for a relaxed Sr4SbPb crystal.

Summary:
electronic total energy: -2.300 eV per atom
E_form (uncorrected): 0.13 eV/atom

a = 6.929 Å, b = 6.929 Å, c = 6.929 Å
α = 60.00°, β = 60.00°, γ = 60.00°
Fractional coordinates of all 6 atoms:
Sr  0.125  0.125  0.125
Sr  0.125  0.125  0.624
Sr  0.125  0.624  0.125
Sr  0.624  0.125  0.125
Sb  0.500  0.500  0.500
Pb  0.750  0.750  0.750